This record from Alexandria via LeMat-Bulk describes crystalline Cu2As2Pd at its relaxed geometry. The functional is PBE-GGA.

Unit cell a=3.868 b=3.868 c=6.127 alpha=71.60 beta=71.60 gamma=90.00
Element x y z (fractional)
1 Cu 0.750 0.250 0.500
2 As 0.389 0.389 0.221
3 Cu 0.250 0.750 0.500
4 Pd 0.000 0.000 0.000
5 As 0.611 0.611 0.779

Summary:
SG   I4/mmm
Energy of formation   0.8 eV/f.u.
E above lowest polymorph   11.2 kJ/mol of atoms

=====

This record from Alexandria via LeMat-Bulk describes crystalline NbAsS2Cl at its relaxed geometry. The functional is PBE-GGA.

Unit cell a=4.853 b=4.853 c=4.905 alpha=90.00 beta=90.00 gamma=90.00
Site moments in Bohr magnetons follow the coordinates.
Element x y z (fractional)
1 S 0.500 0.000 0.000  -0.05
2 Nb 0.000 0.000 0.000  0.54
3 As 0.500 0.500 0.500  0.96
4 Cl 0.000 0.000 0.500  0.03
5 S 0.000 0.500 0.000  -0.05

Summary:
Formation energy (no corrections)   0.0 eV per formula unit
SG   P4/mmm
E above lowest polymorph   0.0 kJ/mol of atoms

=====

This record from Alexandria via LeMat-Bulk describes crystalline Al2CuCl at its relaxed geometry. The functional is PBE-GGA.

Unit cell a=4.710 b=4.710 c=4.710 alpha=60.00 beta=60.00 gamma=60.00
Element x y z (fractional)
1 Al 0.250 0.250 0.250
2 Al 0.750 0.750 0.750
3 Cl 0.000 0.000 0.000
4 Cu 0.500 0.500 0.500

Summary:
Formation energy (no corrections)   1.0 eV per formula unit
SG   Fm-3m
E above lowest polymorph   47.0 kJ/mol of atoms

=====

This record from Alexandria via LeMat-Bulk describes crystalline Zn4FeSe at its relaxed geometry. The functional is PBE-GGA.

Unit cell a=5.112 b=5.112 c=5.112 alpha=60.00 beta=60.00 gamma=60.00
Site moments in Bohr magnetons follow the coordinates.
Element x y z (fractional)
1 Fe 0.750 0.750 0.750  2.75
2 Zn 0.873 0.376 0.376  -0.04
3 Zn 0.376 0.873 0.376  -0.04
4 Zn 0.376 0.376 0.376  -0.04
5 Zn 0.376 0.376 0.873  -0.04
6 Se 0.000 0.000 0.000  0.03

Summary:
Formation energy (no corrections)   2.0 eV per formula unit
SG   F-43m

=====

This record from Alexandria via LeMat-Bulk describes crystalline CsRb2LaOs at its relaxed geometry. The functional is PBE-GGA.

Unit cell a=7.318 b=5.124 c=7.318 alpha=90.00 beta=90.00 gamma=90.00
Element x y z (fractional)
1 Rb 0.000 0.000 0.500
2 Os 0.000 0.000 0.000
3 La 0.000 0.500 0.000
4 Cs 0.500 0.500 0.500
5 Rb 0.500 0.000 0.000

Summary:
SG   P4/mmm
Energy of formation   3.1 eV/f.u.

=====

This record from Alexandria via LeMat-Bulk describes crystalline SrY3Ir at its relaxed geometry. The functional is PBE-GGA.

Unit cell a=7.715 b=7.715 c=7.715 alpha=51.74 beta=51.74 gamma=51.74
Element x y z (fractional)
1 Y 0.313 0.831 0.831
2 Ir 0.084 0.084 0.084
3 Y 0.831 0.313 0.831
4 Sr 0.817 0.817 0.817
5 Y 0.831 0.831 0.313

Summary:
SG   R3m
Energy of formation   3.8 eV/f.u.
E above lowest polymorph   109.7 kJ/mol of atoms

=====

This record from Alexandria via LeMat-Bulk describes crystalline PmZn4Pd8 at its relaxed geometry. The functional is PBE-GGA.

Unit cell a=5.316 b=6.813 c=6.813 alpha=81.24 beta=67.04 gamma=67.04
Element x y z (fractional)
1 Pd 0.500 0.777 0.223
2 Pd 0.723 0.777 0.777
3 Zn 0.000 0.000 0.500
4 Pd 0.500 0.223 0.777
5 Zn 0.000 0.500 0.000
6 Pd 0.342 0.658 0.658
7 Pd 0.000 0.342 0.658
8 Pd 0.000 0.658 0.342
9 Zn 0.500 0.500 0.000
10 Zn 0.500 0.000 0.500
11 Pm 0.000 0.000 0.000
12 Pd 0.277 0.223 0.223
13 Pd 0.658 0.342 0.342

Summary:
SG   I4/mmm
Energy of formation   -7.3 eV/f.u.

=====

This record from Alexandria via LeMat-Bulk describes crystalline Dy6Sb2PbSe3 at its relaxed geometry. The functional is PBE-GGA.

Unit cell a=4.261 b=8.485 c=9.492 alpha=102.54 beta=102.97 gamma=90.00
Element x y z (fractional)
1 Dy 0.331 0.923 0.663
2 Dy 0.669 0.077 0.337
3 Se 0.500 0.500 0.000
4 Dy 0.003 0.744 0.005
5 Se 0.832 0.167 0.665
6 Dy 0.997 0.256 0.995
7 Sb 0.167 0.333 0.333
8 Pb 0.500 0.000 0.000
9 Se 0.168 0.833 0.335
10 Sb 0.833 0.667 0.667
11 Dy 0.335 0.411 0.670
12 Dy 0.665 0.589 0.330

Summary:
Formation energy (no corrections)   -16.0 eV per formula unit
SG   C2/m

=====

This record from Alexandria via LeMat-Bulk describes crystalline Pm6P2IrSe3 at its relaxed geometry. The functional is PBE-GGA.

Unit cell a=4.139 b=8.466 c=9.377 alpha=103.65 beta=102.75 gamma=90.00
Element x y z (fractional)
1 Se 0.169 0.832 0.338
2 P 0.833 0.664 0.666
3 Pm 0.004 0.238 0.008
4 Se 0.831 0.168 0.662
5 Pm 0.661 0.093 0.322
6 Pm 0.996 0.762 0.992
7 P 0.167 0.336 0.334
8 Se 0.500 0.500 0.000
9 Pm 0.329 0.427 0.658
10 Pm 0.339 0.907 0.678
11 Ir 0.500 0.000 0.000
12 Pm 0.671 0.573 0.342

Summary:
Formation energy (no corrections)   -19.0 eV per formula unit
SG   C2/m

=====

This record from Alexandria via LeMat-Bulk describes crystalline CoMo2HOs at its relaxed geometry. The functional is PBE-GGA.

Unit cell a=3.921 b=3.921 c=3.837 alpha=90.00 beta=90.00 gamma=90.00
Element x y z (fractional)
1 Mo 0.500 0.000 0.000
2 H 0.000 0.000 0.000
3 Co 0.500 0.500 0.500
4 Mo 0.000 0.500 0.000
5 Os 0.000 0.000 0.500

Summary:
SG   P4/mmm
E above lowest polymorph   8.3 kJ/mol of atoms

=====

This record from Alexandria via LeMat-Bulk describes crystalline ZnCoP2 at its relaxed geometry. The functional is PBE-GGA.

Unit cell a=3.554 b=4.635 c=5.017 alpha=121.73 beta=90.00 gamma=90.00
Element x y z (fractional)
1 Co 0.500 0.750 0.750
2 P 0.000 0.497 0.786
3 Zn 0.500 0.250 0.250
4 P 0.000 0.003 0.714

Summary:
SG   P2/m
Energy of formation   -0.2 eV/f.u.

=====

This record from Alexandria via LeMat-Bulk describes crystalline HoThIrRh at its relaxed geometry. The functional is PBE-GGA.

Unit cell a=4.958 b=4.958 c=4.958 alpha=60.00 beta=60.00 gamma=60.00
Element x y z (fractional)
1 Ho 0.750 0.750 0.750
2 Rh 0.000 0.000 0.000
3 Ir 0.500 0.500 0.500
4 Th 0.250 0.250 0.250

Summary:
SG   F-43m
Energy of formation   -3.3 eV/f.u.
E above lowest polymorph   9.5 kJ/mol of atoms

=====

Repeat the twelfth record exactly.
This record from Alexandria via LeMat-Bulk describes crystalline HoThIrRh at its relaxed geometry. The functional is PBE-GGA.

Unit cell a=4.958 b=4.958 c=4.958 alpha=60.00 beta=60.00 gamma=60.00
Element x y z (fractional)
1 Ho 0.750 0.750 0.750
2 Rh 0.000 0.000 0.000
3 Ir 0.500 0.500 0.500
4 Th 0.250 0.250 0.250

Summary:
SG   F-43m
Energy of formation   -3.3 eV/f.u.
E above lowest polymorph   9.5 kJ/mol of atoms